[1]
A plane-wave DFT calculation with PBE was carried out for a relaxed Pu8Si2Ge crystal.

E_tot = -132.37 eV/cell
Space group = C2/m
D(E_F) = 34.9 states/eV/cell

Cell lengths 8.154, 8.154, 7.190 Å; angles 114.73, 114.73, 31.84 degrees
Fractional coordinates of all 11 atoms:
Pu 0.084 0.084 0.328
Pu 0.139 0.139 0.716
Pu 0.336 0.336 0.632
Pu 0.399 0.399 0.035
Pu 0.601 0.601 0.965
Pu 0.664 0.664 0.368
Pu 0.861 0.861 0.284
Pu 0.916 0.916 0.672
Si 0.229 0.229 0.183
Si 0.771 0.771 0.817
Ge 0.500 0.500 0.500

[2]
A plane-wave DFT calculation with PBE was carried out for a relaxed LiSmIn crystal.

E_tot = -9.72 eV/cell
Space group = F-43m
D(E_F) = 2.9 states/eV/cell

Cell lengths 4.781, 4.781, 4.781 Å; angles 60.00, 60.00, 60.00 degrees
Fractional coordinates of all 3 atoms:
Li 0.000 0.000 0.000
Sm 0.250 0.250 0.250
In 0.750 0.750 0.750

[3]
A plane-wave DFT calculation with PBE was carried out for a relaxed CsZnAsO4 crystal.

E_tot = -74.11 eV/cell
Space group = P2_1/m
D(E_F) = 0.0 states/eV/cell

Cell lengths 5.385, 5.788, 8.658 Å; angles 90.00, 96.12, 90.00 degrees
Fractional coordinates of all 14 atoms:
Cs 0.240 0.250 0.350
Cs 0.760 0.750 0.650
Zn 0.344 0.750 0.999
Zn 0.656 0.250 0.001
As 0.177 0.250 0.826
As 0.823 0.750 0.174
O 0.002 0.750 0.346
O 0.014 0.250 0.986
O 0.395 0.022 0.849
O 0.395 0.478 0.849
O 0.605 0.522 0.151
O 0.605 0.978 0.151
O 0.986 0.750 0.014
O 0.998 0.250 0.654

[4]
A plane-wave DFT calculation with PBE was carried out for a relaxed Er2CdSn2 crystal.

E_tot = -41.12 eV/cell
Space group = C2/m
D(E_F) = 6.5 states/eV/cell

Cell lengths 6.245, 6.245, 10.733 Å; angles 112.06, 112.06, 42.86 degrees
Fractional coordinates of all 10 atoms:
Er 0.002 0.002 0.174
Er 0.178 0.178 0.601
Er 0.822 0.822 0.399
Er 0.998 0.998 0.826
Cd 0.298 0.298 0.176
Cd 0.702 0.702 0.824
Sn 0.358 0.358 0.929
Sn 0.449 0.449 0.607
Sn 0.551 0.551 0.393
Sn 0.642 0.642 0.071

[5]
A plane-wave DFT calculation with PBE was carried out for a relaxed TlTc4Se7 crystal.

E_tot = -138.17 eV/cell
Space group = Pmn2_1
D(E_F) = 15.9 states/eV/cell

Cell lengths 4.741, 7.677, 14.826 Å; angles 90.00, 90.00, 90.00 degrees
Fractional coordinates of all 24 atoms:
Tl 0.000 0.233 0.000
Tl 0.500 0.767 0.500
Tc 0.000 0.282 0.357
Tc 0.000 0.283 0.643
Tc 0.000 0.713 0.266
Tc 0.000 0.714 0.734
Tc 0.500 0.286 0.234
Tc 0.500 0.287 0.766
Tc 0.500 0.717 0.143
Tc 0.500 0.718 0.857
Se 0.000 0.396 0.203
Se 0.000 0.397 0.797
Se 0.000 0.437 0.500
Se 0.000 0.829 0.118
Se 0.000 0.831 0.883
Se 0.000 0.952 0.366
Se 0.000 0.953 0.634
Se 0.500 0.047 0.134
Se 0.500 0.048 0.866
Se 0.500 0.169 0.383
Se 0.500 0.171 0.618
Se 0.500 0.563 0.000
Se 0.500 0.603 0.297
Se 0.500 0.604 0.703

[6]
A plane-wave DFT calculation with PBE was carried out for a relaxed LaHf2Tc2 crystal.

E_tot = -46.01 eV/cell
Space group = I4/mmm
Excess energy over the best structure of this formula in the dataset = 0.000 eV/atom
D(E_F) = 4.9 states/eV/cell

Cell lengths 6.591, 6.591, 6.591 Å; angles 140.94, 140.94, 56.43 degrees
Fractional coordinates of all 5 atoms:
La 0.000 0.000 0.000
Hf 0.250 0.750 0.500
Hf 0.750 0.250 0.500
Tc 0.391 0.391 0.000
Tc 0.609 0.609 0.000

[7]
A plane-wave DFT calculation with PBE was carried out for a relaxed Pm8PrSi6 crystal.

E_tot = -83.01 eV/cell
Space group = R-3
D(E_F) = 7.1 states/eV/cell

Cell lengths 8.022, 8.022, 8.022 Å; angles 66.59, 66.59, 66.59 degrees
Fractional coordinates of all 15 atoms:
Pm 0.064 0.728 0.395
Pm 0.167 0.167 0.167
Pm 0.272 0.605 0.936
Pm 0.395 0.064 0.728
Pm 0.605 0.936 0.272
Pm 0.728 0.395 0.064
Pm 0.833 0.833 0.833
Pm 0.936 0.272 0.605
Pr 0.500 0.500 0.500
Si 0.096 0.433 0.768
Si 0.232 0.904 0.567
Si 0.433 0.768 0.096
Si 0.567 0.232 0.904
Si 0.768 0.096 0.433
Si 0.904 0.567 0.232

[8]
A plane-wave DFT calculation with PBE was carried out for a relaxed BiPdPb crystal.

E_tot = -26.44 eV/cell
Space group = C2/m
Excess energy over the best structure of this formula in the dataset = 0.071 eV/atom
D(E_F) = 2.3 states/eV/cell

Cell lengths 4.841, 4.841, 7.694 Å; angles 108.06, 108.06, 89.82 degrees
Fractional coordinates of all 6 atoms:
Bi 0.249 0.751 0.000
Bi 0.751 0.249 0.000
Pd 0.137 0.137 0.770
Pd 0.863 0.863 0.230
Pb 0.000 0.500 0.500
Pb 0.500 0.000 0.500

[9]
A plane-wave DFT calculation with PBE was carried out for a relaxed BaSmTl6 crystal.

E_tot = -22.93 eV/cell
Space group = P4/mmm
D(E_F) = 4.1 states/eV/cell

Cell lengths 4.964, 4.964, 9.948 Å; angles 90.00, 90.00, 90.00 degrees
Fractional coordinates of all 8 atoms:
Ba 0.000 0.000 0.000
Sm 0.000 0.000 0.500
Tl 0.000 0.500 0.264
Tl 0.000 0.500 0.736
Tl 0.500 0.000 0.264
Tl 0.500 0.000 0.736
Tl 0.500 0.500 0.000
Tl 0.500 0.500 0.500

[10]
A plane-wave DFT calculation with PBE was carried out for a relaxed La2DyY5Th crystal.

E_tot = -103.40 eV/cell
Space group = I4/mcm
D(E_F) = 26.3 states/eV/cell

Cell lengths 9.992, 9.992, 9.992 Å; angles 128.17, 128.17, 76.35 degrees
Fractional coordinates of all 18 atoms:
La 0.117 0.617 0.733
La 0.383 0.117 0.500
La 0.617 0.883 0.500
La 0.883 0.383 0.267
Dy 0.250 0.750 0.500
Dy 0.750 0.250 0.500
Y 0.000 0.000 0.000
Y 0.075 0.143 0.500
Y 0.143 0.643 0.068
Y 0.357 0.425 0.500
Y 0.425 0.925 0.068
Y 0.500 0.500 0.000
Y 0.575 0.075 0.932
Y 0.643 0.575 0.500
Y 0.857 0.357 0.932
Y 0.925 0.857 0.500
Th 0.250 0.250 0.000
Th 0.750 0.750 0.000

[11]
A plane-wave DFT calculation with PBE was carried out for a relaxed Pm2Sm7Dy2 crystal.

E_tot = -50.44 eV/cell
Space group = C2/m
Excess energy over the best structure of this formula in the dataset = 0.017 eV/atom
D(E_F) = 14.7 states/eV/cell

Cell lengths 10.649, 10.649, 3.658 Å; angles 99.64, 99.64, 67.05 degrees
Fractional coordinates of all 11 atoms:
Pm 0.241 0.759 0.000
Pm 0.759 0.241 0.000
Sm 0.082 0.584 0.332
Sm 0.118 0.118 0.123
Sm 0.416 0.918 0.668
Sm 0.500 0.500 0.500
Sm 0.584 0.082 0.332
Sm 0.882 0.882 0.877
Sm 0.918 0.416 0.668
Dy 0.299 0.299 0.800
Dy 0.701 0.701 0.200

[12]
A plane-wave DFT calculation with PBE was carried out for a relaxed NaNd2Dy crystal.

E_tot = -14.68 eV/cell
Space group = P4/mmm
Excess energy over the best structure of this formula in the dataset = 0.099 eV/atom
D(E_F) = 4.7 states/eV/cell

Cell lengths 5.970, 5.970, 3.760 Å; angles 90.00, 90.00, 90.00 degrees
Fractional coordinates of all 4 atoms:
Na 0.000 0.000 0.000
Nd 0.000 0.500 0.500
Nd 0.500 0.000 0.500
Dy 0.500 0.500 0.000

[13]
A plane-wave DFT calculation with PBE was carried out for a relaxed LaMgGa2Au5 crystal.

E_tot = -32.52 eV/cell
Space group = P4/mmm
D(E_F) = 3.3 states/eV/cell

Cell lengths 4.983, 4.983, 7.738 Å; angles 90.00, 90.00, 90.00 degrees
Fractional coordinates of all 9 atoms:
La 0.000 0.000 0.000
Mg 0.000 0.000 0.500
Ga 0.500 0.500 0.340
Ga 0.500 0.500 0.660
Au 0.000 0.500 0.260
Au 0.000 0.500 0.740
Au 0.500 0.000 0.260
Au 0.500 0.000 0.740
Au 0.500 0.500 0.000